Density functional theory data (PBE-GGA) for crystalline PrGaOs at its relaxed geometry.

space group: F-43m
calculated total energy: -0.4001 Ry/atom

```
PrGaOs
1.0
0.0000 3.3671 3.3671
3.3671 0.0000 3.3671
3.3671 3.3671 0.0000
Ga Os Pr
1 1 1
Direct
0.2500 0.2500 0.2500
0.7500 0.7500 0.7500
0.0000 0.0000 0.0000
```